Below is a relaxed structure of WSeBr2, with properties calculated at the PBE level.

abc: 3.0863 3.0863 9.1070
angles: 90.00 90.00 90.00
Positions (direct):
W: 0.0000 0.0000 0.0000
Se: 0.0000 0.0000 0.5000
Br: 0.5000 0.5000 0.1786
Br: 0.5000 0.5000 0.8214

Its total energy is -0.160 hartree per atom. The mass density is 8.09 g/cm3. The uncorrected formation energy comes out at 600 meV/atom.